Record 1
Density functional theory data (PBE) for HgI2OF after structural relaxation.

```
HgI2OF
1.0
5.992 0.000 0.000
0.000 5.992 0.000
0.000 0.000 4.054
Hg I O F
1 2 1 1
direct
0.000 0.000 0.000
0.000 0.500 0.000
0.500 0.000 0.000
0.000 0.000 0.500
0.500 0.500 0.500
```

Summary:
The calculation puts the energy above the most stable polymorph in this dataset at 0.0 meV/atom. The space group is P4/mmm (123). Its total energy is -1.695 eV/atom. As for the uncorrected formation energy: 0.3516 eV/atom.

---

Record 2
Density functional theory data (PBE) for Hg6I2O2F after structural relaxation.

```
Hg6I2O2F
1.0
5.819 -3.227 0.000
5.819 3.227 0.000
-3.734 0.000 8.058
Hg I O F
6 2 2 1
direct
0.112 0.685 0.728
0.315 0.888 0.272
0.338 0.338 0.349
0.662 0.662 0.651
0.685 0.112 0.728
0.888 0.315 0.272
0.228 0.228 0.830
0.772 0.772 0.170
0.472 0.472 0.661
0.528 0.528 0.339
0.000 0.000 0.000
```

Summary:
The space group is C2/m (12). Its total energy is -1.802 eV/atom. As for the uncorrected formation energy: -0.2839 eV/atom.

---

Record 3
Density functional theory data (PBE) for HgI2OF after structural relaxation.

```
HgI2OF
1.0
5.241 0.000 0.000
0.000 5.241 0.000
0.000 0.000 4.090
Hg I O F
1 2 1 1
direct
0.000 0.000 0.000
0.000 0.500 0.500
0.500 0.000 0.500
0.500 0.500 0.000
0.500 0.500 0.500
```

Summary:
The calculation puts the energy above the most stable polymorph in this dataset at 202.0 meV/atom. The space group is P4/mmm (123). Its total energy is -1.493 eV/atom. As for the uncorrected formation energy: 0.5536 eV/atom.

---

Record 4
Density functional theory data (PBE) for HgIOF2 after structural relaxation.

```
HgIOF2
1.0
4.606 0.000 0.000
0.000 4.606 0.000
0.000 0.000 4.337
Hg I O F
1 1 1 2
direct
0.000 0.000 0.000
0.500 0.500 0.500
0.000 0.000 0.500
0.000 0.500 0.000
0.500 0.000 0.000
```

Summary:
The calculation puts the energy above the most stable polymorph in this dataset at 235.9 meV/atom. The space group is P4/mmm (123). Its total energy is -2.372 eV/atom. As for the uncorrected formation energy: -0.2612 eV/atom.

---

Question: Which value of total energy does entry 1 give?
Answer: -1.695 eV/atom